Compound: Na2Ce2Pb3
Source: Alexandria
Functional: PBE
Structure: optimized geometry

```
data_Na2Ce2Pb3
_symmetry_space_group_name_H-M 'C m m m'
_symmetry_Int_Tables_number 65
_symmetry_space_group_name_Hall '-C 2 2'
_cell_length_a 3.5724
_cell_length_b 34.2104
_cell_length_c 3.5307
_cell_angle_alpha 90.00
_cell_angle_beta 90.00
_cell_angle_gamma 90.00
loop_
_atom_site_label
_atom_site_fract_x
_atom_site_fract_y
_atom_site_fract_z
Na1 0.0000 0.2013 0.0000
Ce1 0.0000 0.0681 0.0000
Pb1 0.0000 0.3630 0.5000
Pb2 0.0000 0.5000 0.5000
```

Values from the calculation:
V (Å³ per atom): 30.8

***

Compound: ErFeGe2Os
Source: Alexandria
Functional: PBE
Structure: optimized geometry

```
data_ErFeGe2Os
_symmetry_space_group_name_H-M 'I -4 m 2'
_symmetry_Int_Tables_number 119
_symmetry_space_group_name_Hall 'I -4 -2'
_cell_length_a 4.0596
_cell_length_b 4.0596
_cell_length_c 10.3236
_cell_angle_alpha 90.00
_cell_angle_beta 90.00
_cell_angle_gamma 90.00
loop_
_atom_site_label
_atom_site_fract_x
_atom_site_fract_y
_atom_site_fract_z
Er1 0.0000 0.0000 0.0000
Fe1 0.0000 0.5000 0.2500
Ge1 0.0000 0.0000 0.3778
Os1 0.0000 0.5000 0.7500
```

Values from the calculation:
V (Å³ per atom): 17.0

***

| no. | total magnetization (μB per formula unit) | ΔH_f (0 K) (eV/f.u.) |
| --- | --- | --- |
| 1 | 2.52 | -1.82 |
| 2 | 1.51 | -1.99 |